1.
VASP calculation (GGA-PBE) on a relaxed PrNdDy2Tl4 crystal.

Computed properties:
The value obtained for the total energy is -3.89 eV/atom. The formation enthalpy at 0 K is -0.36 eV per atom.

Geometry as CIF:
```
data_PrNdDy2Tl4
_cell_length_a 5.4550
_cell_length_b 5.4550
_cell_length_c 26.7662
_cell_angle_alpha 90.00
_cell_angle_beta 90.00
_cell_angle_gamma 120.00
_symmetry_space_group_name_H-M 'R -3 m'
_symmetry_Int_Tables_number 166
_symmetry_space_group_name_Hall '-R 3 2"'
loop_
_atom_site_label
_atom_site_type_symbol
_atom_site_fract_x
_atom_site_fract_y
_atom_site_fract_z
Pr1 Pr 0.0000 0.0000 0.0000
Nd1 Nd 0.0000 0.0000 0.5000
Dy1 Dy 0.0000 0.0000 0.2500
Tl1 Tl 0.0000 0.0000 0.1254
Tl2 Tl 0.0000 0.0000 0.3754
```

---

2.
VASP calculation (GGA-PBE) on a relaxed AcMgIn2 crystal.

Computed properties:
The value obtained for the total energy is -3.07 eV/atom. The formation enthalpy at 0 K is -0.28 eV per atom.

Geometry as CIF:
```
data_AcMgIn2
_cell_length_a 3.7955
_cell_length_b 3.7955
_cell_length_c 7.9171
_cell_angle_alpha 90.00
_cell_angle_beta 90.00
_cell_angle_gamma 90.00
_symmetry_space_group_name_H-M 'P 4/m m m'
_symmetry_Int_Tables_number 123
_symmetry_space_group_name_Hall '-P 4 2'
loop_
_atom_site_label
_atom_site_type_symbol
_atom_site_fract_x
_atom_site_fract_y
_atom_site_fract_z
Ac1 Ac 0.0000 0.0000 0.0000
Mg1 Mg 0.0000 0.0000 0.5000
In1 In 0.5000 0.5000 0.2940
```

---

3.
VASP calculation (GGA-PBE) on a relaxed NaLi5N2 crystal.

Computed properties:
Its uncorrected formation energy is -0.233 eV/atom. The value obtained for the total energy is -3.68 eV/atom. As for the excess energy over the best structure of this formula in the dataset: 0 meV/atom.

Geometry as CIF:
```
data_NaLi5N2
_cell_length_a 3.8578
_cell_length_b 3.6341
_cell_length_c 7.4301
_cell_angle_alpha 90.00
_cell_angle_beta 101.28
_cell_angle_gamma 90.00
_symmetry_space_group_name_H-M 'P 1 m 1'
_symmetry_Int_Tables_number 6
_symmetry_space_group_name_Hall 'P -2y'
loop_
_atom_site_label
_atom_site_type_symbol
_atom_site_fract_x
_atom_site_fract_y
_atom_site_fract_z
Na1 Na 0.0000 0.0000 0.0000
Li1 Li 0.1564 0.0000 0.3377
Li2 Li 0.2064 0.5000 0.5115
Li3 Li 0.3576 0.5000 0.8005
Li4 Li 0.6048 0.5000 0.2254
Li5 Li 0.7632 0.0000 0.6299
N1 N 0.1074 0.5000 0.2330
N2 N 0.2793 0.0000 0.6704
```

---

4.
VASP calculation (GGA-PBE) on a relaxed CaAc5Pt3 crystal.

Computed properties:
The value obtained for the total energy is -5.31 eV/atom. The formation enthalpy at 0 K is -0.79 eV per atom.

Geometry as CIF:
```
data_CaAc5Pt3
_cell_length_a 7.2056
_cell_length_b 4.4530
_cell_length_c 21.4654
_cell_angle_alpha 90.00
_cell_angle_beta 90.40
_cell_angle_gamma 90.00
_symmetry_space_group_name_H-M 'P 1 2/m 1'
_symmetry_Int_Tables_number 10
_symmetry_space_group_name_Hall '-P 2y'
loop_
_atom_site_label
_atom_site_type_symbol
_atom_site_fract_x
_atom_site_fract_y
_atom_site_fract_z
Ca1 Ca 0.2019 0.0000 0.2324
Ac1 Ac 0.1732 0.0000 0.9058
Ac2 Ac 0.2300 0.0000 0.5599
Ac3 Ac 0.2786 0.5000 0.3917
Ac4 Ac 0.3014 0.5000 0.7374
Ac5 Ac 0.3175 0.5000 0.0735
Pt1 Pt 0.0000 0.5000 0.5000
Pt2 Pt 0.0099 0.5000 0.1682
Pt3 Pt 0.4945 0.0000 0.3298
Pt4 Pt 0.5000 0.0000 0.0000
```

---

5.
VASP calculation (GGA-PBE) on a relaxed RbMn3Tc crystal.

Computed properties:
The value obtained for the total energy is -6.66 eV/atom. As for the excess energy over the best structure of this formula in the dataset: 0 meV/atom. The formation enthalpy at 0 K is 1.11 eV per atom.

Geometry as CIF:
```
data_RbMn3Tc
_cell_length_a 4.9530
_cell_length_b 4.9530
_cell_length_c 4.9530
_cell_angle_alpha 90.00
_cell_angle_beta 90.00
_cell_angle_gamma 90.00
_symmetry_space_group_name_H-M 'P m -3 m'
_symmetry_Int_Tables_number 221
_symmetry_space_group_name_Hall '-P 4 2 3'
loop_
_atom_site_label
_atom_site_type_symbol
_atom_site_fract_x
_atom_site_fract_y
_atom_site_fract_z
Rb1 Rb 0.0000 0.0000 0.0000
Mn1 Mn 0.0000 0.5000 0.5000
Tc1 Tc 0.5000 0.5000 0.5000
```

---

6.
VASP calculation (GGA-PBE) on a relaxed Ba8LiIn2 crystal.

Computed properties:
The value obtained for the total energy is -2.23 eV/atom. The formation enthalpy at 0 K is -0.16 eV per atom.

Geometry as CIF:
```
data_Ba8LiIn2
_cell_length_a 21.7663
_cell_length_b 6.0294
_cell_length_c 8.6400
_cell_angle_alpha 90.00
_cell_angle_beta 108.34
_cell_angle_gamma 90.00
_symmetry_space_group_name_H-M 'C 1 2/m 1'
_symmetry_Int_Tables_number 12
_symmetry_space_group_name_Hall '-C 2y'
loop_
_atom_site_label
_atom_site_type_symbol
_atom_site_fract_x
_atom_site_fract_y
_atom_site_fract_z
Ba1 Ba 0.0331 0.0000 0.2820
Ba2 Ba 0.1004 0.5000 0.9587
Ba3 Ba 0.1702 0.5000 0.4609
Ba4 Ba 0.2004 0.0000 0.8057
Li1 Li 0.0000 0.5000 0.5000
In1 In 0.1850 0.0000 0.2028
```

---

Please write out number 2 again, unchanged.
VASP calculation (GGA-PBE) on a relaxed AcMgIn2 crystal.

Computed properties:
The value obtained for the total energy is -3.07 eV/atom. The formation enthalpy at 0 K is -0.28 eV per atom.

Geometry as CIF:
```
data_AcMgIn2
_cell_length_a 3.7955
_cell_length_b 3.7955
_cell_length_c 7.9171
_cell_angle_alpha 90.00
_cell_angle_beta 90.00
_cell_angle_gamma 90.00
_symmetry_space_group_name_H-M 'P 4/m m m'
_symmetry_Int_Tables_number 123
_symmetry_space_group_name_Hall '-P 4 2'
loop_
_atom_site_label
_atom_site_type_symbol
_atom_site_fract_x
_atom_site_fract_y
_atom_site_fract_z
Ac1 Ac 0.0000 0.0000 0.0000
Mg1 Mg 0.0000 0.0000 0.5000
In1 In 0.5000 0.5000 0.2940
```